No. 1
Below is a relaxed structure of Na4SrTa5O15, with properties calculated at the PBE-GGA level.

Values from the calculation:
density = 7.00 g cm⁻³
final energy = -416.914 eV/cell
crystal system = triclinic

```
data_Na4SrTa5O15
_chemical_formula_sum 'Na8 Sr2 Ta10 O30'
_space_group_name_H-M_alt 'P -1'
_space_group_IT_number 2
_space_group_name_Hall '-P 1'
_cell_length_a 6.8874
_cell_length_b 8.8693
_cell_length_c 11.2700
_cell_angle_alpha 108.76
_cell_angle_beta 90.52
_cell_angle_gamma 104.47
loop_
_atom_site_label
_atom_site_type_symbol
_atom_site_fract_x
_atom_site_fract_y
_atom_site_fract_z
_atom_site_occupancy
Na1 Na 0.0000 0.0000 0.0000 1
Na2 Na 0.0000 0.0000 0.5000 1
Na3 Na 0.1973 0.6023 0.3988 1
Na4 Na 0.2004 0.5987 0.9007 1
Na5 Na 0.4004 0.2045 0.8020 1
Sr1 Sr 0.3992 0.1993 0.2995 1
Ta1 Ta 0.0978 0.7975 0.1987 1
Ta2 Ta 0.0994 0.8004 0.6997 1
Ta3 Ta 0.2971 0.3992 0.6020 1
Ta4 Ta 0.2995 0.4005 0.0974 1
Ta5 Ta 0.5000 0.0000 0.0000 1
Ta6 Ta 0.5000 0.0000 0.5000 1
O1 O 0.0271 0.0142 0.2779 1
O2 O 0.0925 0.3329 0.4540 1
O3 O 0.0937 0.3013 0.6981 1
O4 O 0.1023 0.2904 0.1960 1
O5 O 0.1203 0.2691 0.9396 1
O6 O 0.1691 0.5844 0.1254 1
O7 O 0.2297 0.6152 0.6766 1
O8 O 0.2896 0.9076 0.0986 1
O9 O 0.2957 0.9340 0.8516 1
O10 O 0.3001 0.8862 0.5926 1
O11 O 0.3242 0.8770 0.3374 1
O12 O 0.3629 0.1818 0.5286 1
O13 O 0.4385 0.2186 0.0721 1
O14 O 0.4823 0.5274 0.2584 1
O15 O 0.5000 0.5000 0.0000 1
O16 O 0.5000 0.5000 0.5000 1
```

***

No. 2
Below is a relaxed structure of NaSr3Ta2O9, with properties calculated at the PBE-GGA level.

Values from the calculation:
density = 6.20 g cm⁻³
final energy = -115.153 eV/cell
crystal system = trigonal

```
data_NaSr3Ta2O9
_chemical_formula_sum 'Na1 Sr3 Ta2 O9'
_space_group_name_H-M_alt 'P -3 m 1'
_space_group_IT_number 164
_space_group_name_Hall '-P 3 2"'
_cell_length_a 5.8137
_cell_length_b 5.8137
_cell_length_c 7.2402
_cell_angle_alpha 90.00
_cell_angle_beta 90.00
_cell_angle_gamma 120.00
loop_
_atom_site_label
_atom_site_type_symbol
_atom_site_fract_x
_atom_site_fract_y
_atom_site_fract_z
_atom_site_occupancy
Na1 Na 0.0000 0.0000 0.0000 1
Sr1 Sr 0.0000 0.0000 0.5000 1
Sr2 Sr 0.3333 0.6667 0.1538 1
Ta1 Ta 0.3333 0.6667 0.6703 1
O1 O 0.0000 0.5000 0.5000 1
O2 O 0.1743 0.3486 0.8157 1
```

***

No. 3
Below is a relaxed structure of NaSr2TaO5, with properties calculated at the PBE-GGA level.

Values from the calculation:
density = 5.32 g cm⁻³
final energy = -130.941 eV/cell
crystal system = orthorhombic

```
data_NaSr2TaO5
_chemical_formula_sum 'Na2 Sr4 Ta2 O10'
_space_group_name_H-M_alt 'I m m m'
_space_group_IT_number 71
_space_group_name_Hall '-I 2 2'
_cell_length_a 4.0019
_cell_length_b 6.1329
_cell_length_c 11.6715
_cell_angle_alpha 90.00
_cell_angle_beta 90.00
_cell_angle_gamma 90.00
loop_
_atom_site_label
_atom_site_type_symbol
_atom_site_fract_x
_atom_site_fract_y
_atom_site_fract_z
_atom_site_occupancy
Na1 Na 0.0000 0.0000 0.0000 1
Sr1 Sr 0.0000 0.5000 0.2225 1
Ta1 Ta 0.0000 0.0000 0.5000 1
O1 O 0.0000 0.2225 0.3729 1
O2 O 0.0000 0.5000 0.0000 1
```

***

No. 4
Below is a relaxed structure of NaSrTaO2, with properties calculated at the PBE-GGA level.

Values from the calculation:
density = 5.61 g cm⁻³
final energy = -20.890 eV/cell
crystal system = tetragonal

```
data_NaSrTaO2
_chemical_formula_sum 'Na1 Sr1 Ta1 O2'
_space_group_name_H-M_alt 'P 4/m m m'
_space_group_IT_number 123
_space_group_name_Hall '-P 4 2'
_cell_length_a 4.5342
_cell_length_b 4.5342
_cell_length_c 4.6544
_cell_angle_alpha 90.00
_cell_angle_beta 90.00
_cell_angle_gamma 90.00
loop_
_atom_site_label
_atom_site_type_symbol
_atom_site_fract_x
_atom_site_fract_y
_atom_site_fract_z
_atom_site_occupancy
Na1 Na 0.0000 0.0000 0.0000 1
Sr1 Sr 0.5000 0.5000 0.5000 1
Ta1 Ta 0.0000 0.0000 0.5000 1
O1 O 0.0000 0.5000 0.0000 1
```

***

No. 5
Below is a relaxed structure of NaSrTaO4, with properties calculated at the PBE-GGA level.

Values from the calculation:
density = 5.85 g cm⁻³
final energy = -107.414 eV/cell
crystal system = tetragonal

```
data_NaSrTaO4
_chemical_formula_sum 'Na2 Sr2 Ta2 O8'
_space_group_name_H-M_alt 'I 4 m m'
_space_group_IT_number 107
_space_group_name_Hall 'I 4 -2'
_cell_length_a 3.9896
_cell_length_b 3.9896
_cell_length_c 12.6710
_cell_angle_alpha 90.00
_cell_angle_beta 90.00
_cell_angle_gamma 90.00
loop_
_atom_site_label
_atom_site_type_symbol
_atom_site_fract_x
_atom_site_fract_y
_atom_site_fract_z
_atom_site_occupancy
Na1 Na 0.0000 0.0000 0.0000 1
Sr1 Sr 0.0000 0.0000 0.6900 1
Ta1 Ta 0.0000 0.0000 0.3486 1
O1 O 0.0000 0.0000 0.1862 1
O2 O 0.0000 0.0000 0.5002 1
O3 O 0.0000 0.5000 0.3402 1
```

***

No. 6
Below is a relaxed structure of NaSr2Ta3O9, with properties calculated at the PBE-GGA level.

Values from the calculation:
density = 7.43 g cm⁻³
final energy = -127.165 eV/cell
crystal system = trigonal

```
data_NaSr2Ta3O9
_chemical_formula_sum 'Na1 Sr2 Ta3 O9'
_space_group_name_H-M_alt 'P -3 m 1'
_space_group_IT_number 164
_space_group_name_Hall '-P 3 2"'
_cell_length_a 5.7107
_cell_length_b 5.7107
_cell_length_c 7.0026
_cell_angle_alpha 90.00
_cell_angle_beta 90.00
_cell_angle_gamma 120.00
loop_
_atom_site_label
_atom_site_type_symbol
_atom_site_fract_x
_atom_site_fract_y
_atom_site_fract_z
_atom_site_occupancy
Na1 Na 0.0000 0.0000 0.0000 1
Sr1 Sr 0.3333 0.6667 0.6729 1
Ta1 Ta 0.0000 0.0000 0.5000 1
Ta2 Ta 0.3333 0.6667 0.1647 1
O1 O 0.0000 0.5000 0.0000 1
O2 O 0.1682 0.3364 0.3364 1
```